# 1
! LaInGa2Pd5 PBE-GGA optimized geometry; values from VASP
! density of states at the Fermi level = 4.3 states/eV/f.u.
! calculated total energy = -4.9621 eV per atom
! ΔE_f = -553 meV/atom
! calculated density = 9.084 g/cm3
&SYSTEM
  ibrav = 0, nat = 9, ntyp = 4
/
ATOMIC_SPECIES
La 138.91 La.upf
In 114.82 In.upf
Ga 69.72 Ga.upf
Pd 106.42 Pd.upf
ATOMIC_POSITIONS crystal
La 0.000 0.000 0.500
In 0.000 0.000 0.000
Ga 0.500 0.500 0.131
Ga 0.500 0.500 0.869
Pd 0.000 0.500 0.271
Pd 0.500 0.000 0.271
Pd 0.000 0.500 0.729
Pd 0.500 0.000 0.729
Pd 0.500 0.500 0.500
CELL_PARAMETERS angstrom
4.262 0.000 0.000
0.000 4.262 0.000
0.000 0.000 9.310

# 2
! LaIn2GaPd2 PBE-GGA optimized geometry; values from VASP
! density of states at the Fermi level = 3.1 states/eV/f.u.
! calculated total energy = -4.3729 eV per atom
! ΔE_f = -403 meV/atom
! calculated density = 7.172 g/cm3
&SYSTEM
  ibrav = 0, nat = 6, ntyp = 4
/
ATOMIC_SPECIES
La 138.91 La.upf
In 114.82 In.upf
Ga 69.72 Ga.upf
Pd 106.42 Pd.upf
ATOMIC_POSITIONS crystal
La 0.500 0.500 0.000
In 0.250 0.750 0.500
In 0.750 0.250 0.500
Ga 0.000 0.000 0.000
Pd 0.784 0.784 0.567
Pd 0.216 0.216 0.433
CELL_PARAMETERS angstrom
-0.381 -5.213 -0.043
4.511 -0.351 2.618
-4.824 2.944 3.488

# 3
! La3InGa2Pd6 PBE-GGA optimized geometry; values from VASP
! density of states at the Fermi level = 5.7 states/eV/f.u.
! calculated total energy = -5.2589 eV per atom
! ΔE_f = -698 meV/atom
! calculated density = 8.339 g/cm3
&SYSTEM
  ibrav = 0, nat = 12, ntyp = 4
/
ATOMIC_SPECIES
La 138.91 La.upf
In 114.82 In.upf
Ga 69.72 Ga.upf
Pd 106.42 Pd.upf
ATOMIC_POSITIONS crystal
La 0.333 0.667 0.633
La 0.667 0.333 0.367
La 0.000 0.000 0.000
In 0.000 0.000 0.500
Ga 0.667 0.333 0.978
Ga 0.333 0.667 0.022
Pd 0.651 0.825 0.266
Pd 0.175 0.349 0.266
Pd 0.175 0.825 0.266
Pd 0.825 0.651 0.734
Pd 0.349 0.175 0.734
Pd 0.825 0.175 0.734
CELL_PARAMETERS angstrom
5.798 0.000 0.000
-2.899 5.022 0.000
0.000 0.000 8.956